1.
The following is a DFT calculation (GGA-PBE) of a relaxed Cu5HgPd4 crystal.

Calculated values
The value obtained for the total energy is -0.15155 Ha/atom.

Geometry as CIF:
```
data_Cu5HgPd4
_chemical_formula_sum 'Cu10 Hg2 Pd8'
_cell_length_a 9.203
_cell_length_b 4.270
_cell_length_c 7.764
_cell_angle_alpha 90.00
_cell_angle_beta 96.07
_cell_angle_gamma 90.00
_space_group_name_H-M_alt 'C 1 2/m 1'
_space_group_IT_number 12
loop_
_space_group_symop_operation_xyz
'x,y,z'
'-x,-y,-z'
'-x,y,-z'
'x,-y,z'
'x+1/2,y+1/2,z'
'-x+1/2,-y+1/2,-z'
'-x+1/2,y+1/2,-z'
'x+1/2,-y+1/2,z'
loop_
_atom_site_label
_atom_site_fract_x
_atom_site_fract_y
_atom_site_fract_z
_atom_site_occupancy
Cu1 0.000 0.000 0.000 1
Cu2 0.188 0.500 0.435 1
Cu3 0.245 0.500 0.085 1
Hg1 0.000 0.000 0.500 1
Pd1 0.027 0.500 0.814 1
Pd2 0.191 0.000 0.252 1
```

2.
The following is a DFT calculation (GGA-PBE) of a relaxed Cu4HgPd crystal.

Calculated values
The value obtained for the total energy is -0.13341 Ha/atom.

Geometry as CIF:
```
data_Cu4HgPd
_chemical_formula_sum 'Cu16 Hg4 Pd4'
_cell_length_a 6.962
_cell_length_b 6.962
_cell_length_c 6.962
_cell_angle_alpha 90.00
_cell_angle_beta 90.00
_cell_angle_gamma 90.00
_space_group_name_H-M_alt 'F -4 3 m'
_space_group_IT_number 216
_space_group_name_Hall 'F -4 2 3'
loop_
_atom_site_label
_atom_site_fract_x
_atom_site_fract_y
_atom_site_fract_z
_atom_site_occupancy
Cu1 0.125 0.125 0.125 1
Hg1 0.250 0.250 0.750 1
Pd1 0.000 0.000 0.500 1
```